[1]
Material: SmAl3ZnPt
Method: DFT, PBE-GGA
State: optimized geometry

Geometry as POSCAR:
```
SmAl3ZnPt
1.0
3.3181 -6.0433 0.0000
3.3181 6.0433 0.0000
0.0000 0.0000 5.8733
Sm Al Zn Pt
2 6 2 2
Cartesian
3.3181 3.5220 4.4050 Sm
3.3181 -3.5220 1.4683 Sm
1.3534 0.0000 0.0000 Al
1.3534 0.0000 2.9366 Al
3.3181 1.8622 1.4683 Al
3.3181 -1.8622 4.4050 Al
5.2829 0.0000 0.0000 Al
5.2829 0.0000 2.9366 Al
3.3181 0.7469 4.4050 Zn
3.3181 -0.7469 1.4683 Zn
3.3181 4.4181 1.4683 Pt
3.3181 -4.4181 4.4050 Pt
```

Properties
Size of the total moment (μB per cell): 0.00
DFT total energy (eV for the cell shown): -51.3


[2]
Material: Sm2Al4ZnPt3
Method: DFT, PBE-GGA
State: optimized geometry

Geometry as POSCAR:
```
Sm2Al4ZnPt3
1.0
4.2485 0.0000 0.0000
0.0000 4.2485 0.0000
0.0000 0.0000 10.5628
Sm Al Zn Pt
2 4 1 3
Cartesian
0.0000 2.1242 2.6285 Sm
2.1242 0.0000 7.9343 Sm
0.0000 0.0000 0.0000 Al
0.0000 2.1242 6.6803 Al
2.1242 0.0000 3.8825 Al
2.1242 2.1242 0.0000 Al
0.0000 0.0000 5.2814 Zn
0.0000 2.1242 9.1605 Pt
2.1242 0.0000 1.4023 Pt
2.1242 2.1242 5.2814 Pt
```

Properties
Size of the total moment (μB per cell): 0.00
DFT total energy (eV for the cell shown): -53.5


[3]
Material: Sm2ZrAl4Pt3
Method: DFT, PBE-GGA
State: optimized geometry

Geometry as POSCAR:
```
Sm2ZrAl4Pt3
1.0
4.2142 0.0000 0.0000
0.0000 4.2142 0.0000
0.0000 0.0000 11.2650
Sm Zr Al Pt
2 1 4 3
Cartesian
0.0000 2.1071 2.7099 Sm
2.1071 0.0000 8.5551 Sm
0.0000 0.0000 5.6325 Zr
0.0000 0.0000 0.0000 Al
0.0000 2.1071 7.3946 Al
2.1071 0.0000 3.8705 Al
2.1071 2.1071 0.0000 Al
0.0000 2.1071 9.8527 Pt
2.1071 0.0000 1.4124 Pt
2.1071 2.1071 5.6325 Pt
```

Properties
Size of the total moment (μB per cell): 0.00
DFT total energy (eV for the cell shown): -60.3


[4]
Material: Sm2ZrAlPt6
Method: DFT, PBE-GGA
State: optimized geometry

Geometry as POSCAR:
```
Sm2ZrAlPt6
1.0
2.8354 1.6370 8.0699
-2.8354 1.6370 8.0699
0.0000 -3.2740 8.0699
Sm Zr Al Pt
2 1 1 6
Cartesian
0.0000 0.0000 4.9453 Sm
0.0000 0.0000 19.2644 Sm
0.0000 0.0000 0.0000 Zr
0.0000 0.0000 12.1048 Al
-1.4039 -0.8105 13.9921 Pt
0.0000 -1.6211 10.2175 Pt
-1.4039 0.8105 10.2175 Pt
1.4039 -0.8105 13.9922 Pt
0.0000 1.6211 13.9922 Pt
1.4039 0.8105 10.2175 Pt
```

Properties
Size of the total moment (μB per cell): 0.00
DFT total energy (eV for the cell shown): -66.7


[5]
Material: Al2SnPt2
Method: DFT, PBE-GGA
State: optimized geometry

Geometry as POSCAR:
```
Al2SnPt2
1.0
7.6901 0.0000 0.0000
0.0000 7.6901 0.0000
0.0000 0.0000 2.8677
Al Sn Pt
4 2 4
Cartesian
1.1297 2.7154 0.0000 Al
2.7154 6.5604 0.0000 Al
4.9747 1.1297 0.0000 Al
6.5604 4.9747 0.0000 Al
0.0000 0.0000 1.4339 Sn
3.8451 3.8451 1.4339 Sn
1.1181 4.9631 1.4339 Pt
2.7270 1.1181 1.4339 Pt
4.9631 6.5721 1.4339 Pt
6.5721 2.7270 1.4339 Pt
```

Properties
Size of the total moment (μB per cell): 0.00
DFT total energy (eV for the cell shown): -54.1


[6]
Material: AlSnPt5
Method: DFT, PBE-GGA
State: optimized geometry

Geometry as POSCAR:
```
AlSnPt5
1.0
4.0363 0.0000 0.0000
0.0000 4.0363 0.0000
0.0000 0.0000 7.1707
Al Sn Pt
1 1 5
Cartesian
0.0000 0.0000 0.0000 Al
2.0181 2.0181 3.5854 Sn
0.0000 0.0000 3.5854 Pt
0.0000 2.0181 1.5244 Pt
0.0000 2.0181 5.6463 Pt
2.0181 0.0000 1.5244 Pt
2.0181 0.0000 5.6463 Pt
```

Properties
Size of the total moment (μB per cell): 0.00
DFT total energy (eV for the cell shown): -41.5


[7]
Material: AlSn2Pt
Method: DFT, PBE-GGA
State: optimized geometry

Geometry as POSCAR:
```
AlSn2Pt
1.0
-2.2335 2.2335 8.9202
2.2335 -2.2335 8.9202
2.2335 2.2335 -8.9202
Al Sn Pt
2 4 2
Cartesian
0.0000 0.0000 0.0000 Al
0.0000 2.2335 4.4601 Al
1.1167 -1.0681 6.6902 Sn
1.1654 1.1167 2.2301 Sn
1.1167 3.3016 -2.2301 Sn
1.0681 1.1167 11.1503 Sn
2.2335 0.0000 4.4601 Pt
0.0000 0.0000 8.9202 Pt
```

Properties
Size of the total moment (μB per cell): 0.00
DFT total energy (eV for the cell shown): -35.8


[8]
Material: Al2SnPt2
Method: DFT, PBE-GGA
State: optimized geometry

Geometry as POSCAR:
```
Al2SnPt2
1.0
-1.9383 1.9383 6.0426
1.9383 -1.9383 6.0426
1.9383 1.9383 -6.0426
Al Sn Pt
2 1 2
Cartesian
1.9383 0.0000 3.0213 Al
0.0000 1.9383 3.0213 Al
0.0000 0.0000 0.0000 Sn
0.0000 0.0000 4.6180 Pt
0.0000 0.0000 7.4671 Pt
```

Properties
Size of the total moment (μB per cell): 0.00
DFT total energy (eV for the cell shown): -27.2